# 1
Material: Ac6Te3Pt2Rh
Method: DFT, PBE
State: relaxed

Values from the calculation:
The volume is 412 Å³/cell.

abc: 7.6944 7.6944 8.4462
angles: 98.75 98.75 120.03
With the nearest neighbours (Å) after each atom.
Sites, in units of the cell vectors:
1 Ac 0.0705 0.3976 0.2117  1 Rh 3.04, 2 Pt 3.10
2 Ac 0.2567 0.2567 0.7877  1 Rh 3.04, 2 Pt 3.10
3 Ac 0.3976 0.0705 0.2117  1 Rh 3.04, 2 Pt 3.10
4 Ac 0.6024 0.9295 0.7883  1 Rh 3.04, 2 Pt 3.10
5 Ac 0.7433 0.7433 0.2123  1 Rh 3.04, 2 Pt 3.10
6 Ac 0.9295 0.6024 0.7883  1 Rh 3.04, 2 Pt 3.10
7 Te 0.1677 0.8323 0.5000  6 Ac 3.44-3.48
8 Te 0.5000 0.5000 0.5000  6 Ac 3.44-3.49
9 Te 0.8323 0.1677 0.5000  6 Ac 3.44-3.48
10 Pt 0.3334 0.6666 0.0000  6 Ac 3.10
11 Pt 0.6666 0.3334 0.0000  6 Ac 3.10
12 Rh 0.0000 0.0000 0.0000  6 Ac 3.04

# 2
Material: Ac6Te3PtRh2
Method: DFT, PBE
State: relaxed

Values from the calculation:
The volume is 408 Å³/cell.

abc: 7.6778 7.6778 8.3989
angles: 98.76 98.76 119.98
With the nearest neighbours (Å) after each atom.
Sites, in units of the cell vectors:
1 Ac 0.0903 0.4297 0.7886  2 Rh 3.05, 1 Pt 3.11
2 Ac 0.2309 0.2309 0.2108  2 Rh 3.05, 1 Pt 3.10
3 Ac 0.4297 0.0903 0.7886  2 Rh 3.05, 1 Pt 3.11
4 Ac 0.5703 0.9097 0.2114  2 Rh 3.05, 1 Pt 3.11
5 Ac 0.7691 0.7691 0.7892  2 Rh 3.05, 1 Pt 3.10
6 Ac 0.9097 0.5703 0.2114  2 Rh 3.05, 1 Pt 3.11
7 Te 0.0000 0.0000 0.5000  6 Ac 3.42-3.46
8 Te 0.3342 0.6658 0.5000  6 Ac 3.42-3.46
9 Te 0.6658 0.3342 0.5000  6 Ac 3.42-3.46
10 Pt 0.5000 0.5000 0.0000  6 Ac 3.10-3.11
11 Rh 0.1668 0.8332 0.0000  6 Ac 3.05
12 Rh 0.8332 0.1668 0.0000  6 Ac 3.05

# 3
Material: AcThPtRh
Method: DFT, PBE
State: relaxed

Values from the calculation:
The calculation puts the excess energy over the best structure of this formula in the dataset at 0.129 eV/atom. For the calculated formation energy, the calculation gives -0.758 eV/atom. The volume is 395 Å³/cell.

abc: 7.3392 7.3392 7.3392
angles: 90.00 90.00 90.00
With the nearest neighbours (Å) after each atom.
Sites, in units of the cell vectors:
1 Ac 0.0000 0.0000 0.0000  4 Rh 3.18, 4 Pt 3.18
2 Ac 0.0000 0.5000 0.5000  4 Rh 3.18, 4 Pt 3.18
3 Ac 0.5000 0.0000 0.5000  4 Rh 3.18, 4 Pt 3.18
4 Ac 0.5000 0.5000 0.0000  4 Rh 3.18, 4 Pt 3.18
5 Th 0.0000 0.0000 0.5000  4 Rh 3.18, 4 Pt 3.18
6 Th 0.0000 0.5000 0.0000  4 Rh 3.18, 4 Pt 3.18
7 Th 0.5000 0.0000 0.0000  4 Rh 3.18, 4 Pt 3.18
8 Th 0.5000 0.5000 0.5000  4 Rh 3.18, 4 Pt 3.18
9 Pt 0.2500 0.2500 0.2500  4 Ac 3.18, 4 Th 3.18
10 Pt 0.2500 0.7500 0.7500  4 Ac 3.18, 4 Th 3.18
11 Pt 0.7500 0.2500 0.7500  4 Ac 3.18, 4 Th 3.18
12 Pt 0.7500 0.7500 0.2500  4 Ac 3.18, 4 Th 3.18
13 Rh 0.2500 0.2500 0.7500  4 Ac 3.18, 4 Th 3.18
14 Rh 0.2500 0.7500 0.2500  4 Ac 3.18, 4 Th 3.18
15 Rh 0.7500 0.2500 0.2500  4 Ac 3.18, 4 Th 3.18
16 Rh 0.7500 0.7500 0.7500  4 Th 3.18, 4 Ac 3.18

# 4
Material: AcThPtRh
Method: DFT, PBE
State: relaxed

Values from the calculation:
The calculation puts the excess energy over the best structure of this formula in the dataset at 0.000 eV/atom. For the calculated formation energy, the calculation gives -0.887 eV/atom. The volume is 219 Å³/cell.

abc: 7.1382 4.1182 7.8277
angles: 90.00 107.82 90.00
With the nearest neighbours (Å) after each atom.
Sites, in units of the cell vectors:
1 Ac 0.0000 0.0000 0.0000  3 Pt 3.10, 3 Rh 3.18
2 Ac 0.5000 0.5000 0.0000  3 Pt 3.10, 3 Rh 3.18
3 Th 0.1674 0.0000 0.5029  3 Rh 2.89, 3 Pt 2.93
4 Th 0.6674 0.5000 0.5029  3 Rh 2.89, 3 Pt 2.93
5 Pt 0.0773 0.5000 0.7330  3 Th 2.93, 3 Ac 3.10
6 Pt 0.5773 0.0000 0.7330  3 Th 2.93, 3 Ac 3.10
7 Rh 0.2609 0.5000 0.2830  3 Th 2.89, 3 Ac 3.18
8 Rh 0.7609 0.0000 0.2830  3 Th 2.89, 3 Ac 3.18

# 5
Material: Ac6Tl3PtRh2
Method: DFT, PBE
State: relaxed

Values from the calculation:
For the calculated formation energy, the calculation gives -0.600 eV/atom. The volume is 415 Å³/cell.

abc: 7.4384 7.4384 8.9997
angles: 97.90 97.90 119.97
With the nearest neighbours (Å) after each atom.
Sites, in units of the cell vectors:
1 Ac 0.0935 0.4336 0.8007  2 Rh 2.99-3.00, 1 Pt 3.06
2 Ac 0.2237 0.2237 0.1938  2 Rh 2.99, 1 Pt 3.04
3 Ac 0.4336 0.0935 0.8007  2 Rh 2.99-3.00, 1 Pt 3.06
4 Ac 0.5664 0.9065 0.1993  2 Rh 2.99-3.00, 1 Pt 3.06
5 Ac 0.7763 0.7763 0.8062  2 Rh 2.99, 1 Pt 3.04
6 Ac 0.9065 0.5664 0.1993  2 Rh 2.99-3.00, 1 Pt 3.06
7 Tl 0.0000 0.0000 0.5000  6 Ac 3.59-3.61
8 Tl 0.3441 0.6559 0.5000  6 Ac 3.57-3.64
9 Tl 0.6559 0.3441 0.5000  6 Ac 3.57-3.64
10 Pt 0.5000 0.5000 0.0000  6 Ac 3.04-3.06
11 Rh 0.1683 0.8317 0.0000  6 Ac 2.99-3.00
12 Rh 0.8317 0.1683 0.0000  6 Ac 2.99-3.00

# 6
Material: AcTmPtRh
Method: DFT, PBE
State: relaxed

Values from the calculation:
For the calculated formation energy, the calculation gives -0.847 eV/atom. The volume is 371 Å³/cell.

abc: 7.1872 7.1872 7.1872
angles: 90.00 90.00 90.00
With the nearest neighbours (Å) after each atom.
Sites, in units of the cell vectors:
1 Ac 0.0000 0.0000 0.0000  4 Pt 3.11, 4 Rh 3.11
2 Ac 0.0000 0.5000 0.5000  4 Pt 3.11, 4 Rh 3.11
3 Ac 0.5000 0.0000 0.5000  4 Pt 3.11, 4 Rh 3.11
4 Ac 0.5000 0.5000 0.0000  4 Pt 3.11, 4 Rh 3.11
5 Tm 0.0000 0.0000 0.5000  4 Rh 3.11, 4 Pt 3.11
6 Tm 0.0000 0.5000 0.0000  4 Rh 3.11, 4 Pt 3.11
7 Tm 0.5000 0.0000 0.0000  4 Rh 3.11, 4 Pt 3.11
8 Tm 0.5000 0.5000 0.5000  4 Rh 3.11, 4 Pt 3.11
9 Pt 0.2500 0.2500 0.7500  4 Ac 3.11, 4 Tm 3.11
10 Pt 0.2500 0.7500 0.2500  4 Ac 3.11, 4 Tm 3.11
11 Pt 0.7500 0.2500 0.2500  4 Ac 3.11, 4 Tm 3.11
12 Pt 0.7500 0.7500 0.7500  4 Ac 3.11, 4 Tm 3.11
13 Rh 0.2500 0.2500 0.2500  4 Ac 3.11, 4 Tm 3.11
14 Rh 0.2500 0.7500 0.7500  4 Ac 3.11, 4 Tm 3.11
15 Rh 0.7500 0.2500 0.7500  4 Ac 3.11, 4 Tm 3.11
16 Rh 0.7500 0.7500 0.2500  4 Ac 3.11, 4 Tm 3.11

| no. | uncorrected energy (eV for the cell shown) |
| --- | --- |
| 1 | -68.8 |
| 2 | -69.0 |
| 3 | -111.8 |
| 4 | -56.9 |
| 5 | -59.7 |
| 6 | -101.4 |